Computed, not measured: a relaxed structure of Na2CaHg5 at the PBE-GGA level of DFT.

- formation energy from the elements (eV per atom) = -0.3060
- D(E_F) (states/eV/f.u.) = 3.75
- calculated volume (Å³/f.u.) = 205

Unit cell a=4.7697 b=4.7697 c=18.0322 alpha=90.00 beta=90.00 gamma=90.00
Closest atoms and distances in Å follow each position.
Space group I4/mmm (No. 139)
Inequivalent atoms, fractional coordinates:
Na1 0.0000 0.0000 0.2503 (multiplicity 4)  8 Hg 3.24-3.25, 4 Na 3.37
Ca1 0.0000 0.0000 0.0000 (multiplicity 2)  12 Hg 3.32-3.37
Hg1 0.0000 0.0000 0.5000 (multiplicity 2)  8 Hg 3.32, 4 Ca 3.37
Hg2 0.0000 0.5000 0.1282 (multiplicity 8)  4 Na 3.24-3.25, 6 Hg 3.32-3.37, 2 Ca 3.32